Compound: FeCuP2
Source: Alexandria via LeMat-Bulk
Functional: GGA-PBEsol
Structure: relaxed

E_tot	-6.384	eV/atom
formation energy	-0.655	eV per formula unit

Structure (CIF):
```
data_FeCuP2
_space_group_name_H-M_alt 'I m m 2'
_space_group_IT_number 44
_cell_length_a 2.569
_cell_length_b 3.437
_cell_length_c 11.107
_cell_angle_alpha 90.00
_cell_angle_beta 90.00
_cell_angle_gamma 90.00
loop_
_space_group_symop_operation_xyz
'x,y,z'
'-x,-y,z'
'-x,y,z'
'x,-y,z'
'x+1/2,y+1/2,z+1/2'
'-x+1/2,-y+1/2,z+1/2'
'-x+1/2,y+1/2,z+1/2'
'x+1/2,-y+1/2,z+1/2'
loop_
_atom_site_label
_atom_site_fract_x
_atom_site_fract_y
_atom_site_fract_z
Fe1 0.000 0.000 0.000
Cu1 0.000 0.500 0.281
P1 0.000 0.000 0.438
P2 0.000 0.500 0.666
```

=====

Compound: Ba2ZnB2O6
Source: Alexandria via LeMat-Bulk
Functional: GGA-PBEsol
Structure: relaxed

E_tot	-7.200	eV/atom

Structure (CIF):
```
data_Ba2ZnB2O6
_space_group_name_H-M_alt 'P c a 21'
_space_group_IT_number 29
_cell_length_a 14.990
_cell_length_b 8.720
_cell_length_c 10.161
_cell_angle_alpha 90.00
_cell_angle_beta 90.00
_cell_angle_gamma 90.00
loop_
_space_group_symop_operation_xyz
'x,y,z'
'-x,-y,z+1/2'
'-x+1/2,y,z+1/2'
'x+1/2,-y,z'
loop_
_atom_site_label
_atom_site_fract_x
_atom_site_fract_y
_atom_site_fract_z
Ba1 0.098 0.189 0.000
Ba2 0.114 0.710 0.261
Ba3 0.115 0.636 0.711
Ba4 0.119 0.173 0.475
Zn1 0.211 0.007 0.735
Zn2 0.226 0.513 0.987
B1 0.012 0.942 0.757
B2 0.014 0.510 0.004
B3 0.235 0.847 0.996
B4 0.249 0.342 0.242
O1 0.008 0.374 0.589
O2 0.017 0.949 0.346
O3 0.033 0.197 0.245
O4 0.045 0.607 0.476
O5 0.088 0.965 0.677
O6 0.099 0.495 0.947
O7 0.227 0.983 0.065
O8 0.228 0.474 0.311
O9 0.233 0.843 0.860
O10 0.234 0.207 0.811
O11 0.245 0.344 0.606
O12 0.245 0.712 0.066
```

=====

Compound: Ba2PrSbO6
Source: Alexandria via LeMat-Bulk
Functional: GGA-PBEsol
Structure: relaxed

E_tot	-7.167	eV/atom

Structure (CIF):
```
data_Ba2PrSbO6
_space_group_name_H-M_alt 'F m -3 m'
_space_group_IT_number 225
_space_group_name_Hall '-F 4 2 3'
_cell_length_a 8.610
_cell_length_b 8.610
_cell_length_c 8.610
_cell_angle_alpha 90.00
_cell_angle_beta 90.00
_cell_angle_gamma 90.00
loop_
_atom_site_label
_atom_site_fract_x
_atom_site_fract_y
_atom_site_fract_z
Ba1 0.250 0.250 0.250
Pr1 0.000 0.000 0.000
Sb1 0.000 0.000 0.500
O1 0.000 0.000 0.268
```

=====

Compound: Cr2ReW
Source: Alexandria via LeMat-Bulk
Functional: GGA-PBEsol
Structure: relaxed

E_tot	-11.556	eV/atom
formation energy	1.400	eV per formula unit

Structure (CIF):
```
data_Cr2ReW
_space_group_name_H-M_alt 'R 3 m'
_space_group_IT_number 160
_space_group_name_Hall 'R 3 -2"'
_cell_length_a 2.7703
_cell_length_b 2.7703
_cell_length_c 24.3994
_cell_angle_alpha 90.00
_cell_angle_beta 90.00
_cell_angle_gamma 120.00
loop_
_atom_site_label
_atom_site_fract_x
_atom_site_fract_y
_atom_site_fract_z
Cr1 0.0000 0.0000 0.0000
Cr2 0.0000 0.0000 0.2634
Re1 0.0000 0.0000 0.7501
W1 0.0000 0.0000 0.5100
```

=====

Compound: BaTa2NiRu
Source: Alexandria via LeMat-Bulk
Functional: GGA-PBEsol
Structure: relaxed

E_tot	-7.173	eV/atom
formation energy	7.714	eV per formula unit

Structure (CIF):
```
data_BaTa2NiRu
_space_group_name_H-M_alt 'P 4/m m m'
_space_group_IT_number 123
_space_group_name_Hall '-P 4 2'
_cell_length_a 4.566
_cell_length_b 4.566
_cell_length_c 5.401
_cell_angle_alpha 90.00
_cell_angle_beta 90.00
_cell_angle_gamma 90.00
loop_
_atom_site_label
_atom_site_fract_x
_atom_site_fract_y
_atom_site_fract_z
Ba1 0.000 0.000 0.000
Ta1 0.000 0.500 0.500
Ni1 0.000 0.000 0.500
Ru1 0.500 0.500 0.000
```

=====

Compound: KMgZr2Ni
Source: Alexandria via LeMat-Bulk
Functional: GGA-PBEsol
Structure: relaxed

E_tot	-3.739	eV/atom
formation energy	8.493	eV per formula unit

Structure (CIF):
```
data_KMgZr2Ni
_space_group_name_H-M_alt 'P 4/m m m'
_space_group_IT_number 123
_space_group_name_Hall '-P 4 2'
_cell_length_a 4.838
_cell_length_b 4.838
_cell_length_c 4.461
_cell_angle_alpha 90.00
_cell_angle_beta 90.00
_cell_angle_gamma 90.00
loop_
_atom_site_label
_atom_site_fract_x
_atom_site_fract_y
_atom_site_fract_z
K1 0.000 0.000 0.000
Mg1 0.500 0.500 0.500
Zr1 0.000 0.500 0.000
Ni1 0.000 0.000 0.500
```

=====

Compound: Al2CdCu
Source: Alexandria via LeMat-Bulk
Functional: GGA-PBEsol
Structure: relaxed

E_tot	-3.429	eV/atom
formation energy	-0.002	eV per formula unit

Structure (CIF):
```
data_Al2CdCu
_space_group_name_H-M_alt 'P 4/m m m'
_space_group_IT_number 123
_space_group_name_Hall '-P 4 2'
_cell_length_a 2.858
_cell_length_b 2.858
_cell_length_c 7.904
_cell_angle_alpha 90.00
_cell_angle_beta 90.00
_cell_angle_gamma 90.00
loop_
_atom_site_label
_atom_site_fract_x
_atom_site_fract_y
_atom_site_fract_z
Al1 0.000 0.000 0.206
Cd1 0.500 0.500 0.500
Cu1 0.500 0.500 0.000
```

=====

Compound: LiSbRhI2
Source: Alexandria via LeMat-Bulk
Functional: GGA-PBEsol
Structure: relaxed

E_tot	-3.706	eV/atom

Structure (CIF):
```
data_LiSbRhI2
_space_group_name_H-M_alt 'P 4/m m m'
_space_group_IT_number 123
_space_group_name_Hall '-P 4 2'
_cell_length_a 5.604
_cell_length_b 5.604
_cell_length_c 4.913
_cell_angle_alpha 90.00
_cell_angle_beta 90.00
_cell_angle_gamma 90.00
loop_
_atom_site_label
_atom_site_fract_x
_atom_site_fract_y
_atom_site_fract_z
Li1 0.000 0.000 0.000
Sb1 0.500 0.500 0.000
Rh1 0.500 0.500 0.500
I1 0.000 0.500 0.500
```

=====

Compound: ZrAlOs2
Source: Alexandria via LeMat-Bulk
Functional: GGA-PBEsol
Structure: relaxed

E_tot	-9.557	eV/atom
formation energy	-0.614	eV per formula unit

Structure (CIF):
```
data_ZrAlOs2
_space_group_name_H-M_alt 'I m m m'
_space_group_IT_number 71
_space_group_name_Hall '-I 2 2'
_cell_length_a 3.147
_cell_length_b 4.751
_cell_length_c 8.348
_cell_angle_alpha 90.00
_cell_angle_beta 90.00
_cell_angle_gamma 90.00
loop_
_atom_site_label
_atom_site_fract_x
_atom_site_fract_y
_atom_site_fract_z
Zr1 0.000 0.000 0.000
Al1 0.000 0.000 0.500
Os1 0.000 0.500 0.242
```

=====

Compound: Fe2CuRu
Source: Alexandria via LeMat-Bulk
Functional: GGA-PBEsol
Structure: relaxed

E_tot	-7.911	eV/atom
formation energy	0.789	eV per formula unit
ΔE to the lowest computed polymorph	3	meV/atom

Structure (CIF):
```
data_Fe2CuRu
_space_group_name_H-M_alt 'P m m m'
_space_group_IT_number 47
_cell_length_a 2.552
_cell_length_b 3.639
_cell_length_c 5.014
_cell_angle_alpha 90.00
_cell_angle_beta 90.00
_cell_angle_gamma 90.00
loop_
_space_group_symop_operation_xyz
'x,y,z'
'-x,-y,-z'
'-x,-y,z'
'x,y,-z'
'x,-y,-z'
'-x,y,z'
'-x,y,-z'
'x,-y,z'
loop_
_atom_site_label
_atom_site_fract_x
_atom_site_fract_y
_atom_site_fract_z
Fe1 0.000 0.000 0.247
Cu1 0.500 0.500 0.500
Ru1 0.500 0.500 0.000
```

=====

Compound: MgCd2Cu
Source: Alexandria via LeMat-Bulk
Functional: GGA-PBEsol
Structure: relaxed

E_tot	-2.131	eV/atom
formation energy	-0.080	eV per formula unit

Structure (CIF):
```
data_MgCd2Cu
_space_group_name_H-M_alt 'P 4/m m m'
_space_group_IT_number 123
_space_group_name_Hall '-P 4 2'
_cell_length_a 3.276
_cell_length_b 3.276
_cell_length_c 6.588
_cell_angle_alpha 90.00
_cell_angle_beta 90.00
_cell_angle_gamma 90.00
loop_
_atom_site_label
_atom_site_fract_x
_atom_site_fract_y
_atom_site_fract_z
Mg1 0.000 0.000 0.000
Cd1 0.500 0.500 0.278
Cu1 0.000 0.000 0.500
```

=====

Compound: Ba2MoAsO
Source: Alexandria via LeMat-Bulk
Functional: GGA-PBEsol
Structure: relaxed

E_tot	-5.409	eV/atom

Structure (CIF):
```
data_Ba2MoAsO
_space_group_name_H-M_alt 'P 4/m m m'
_space_group_IT_number 123
_space_group_name_Hall '-P 4 2'
_cell_length_a 5.435
_cell_length_b 5.435
_cell_length_c 4.274
_cell_angle_alpha 90.00
_cell_angle_beta 90.00
_cell_angle_gamma 90.00
loop_
_atom_site_label
_atom_site_fract_x
_atom_site_fract_y
_atom_site_fract_z
Ba1 0.000 0.500 0.000
Mo1 0.000 0.000 0.500
As1 0.500 0.500 0.500
O1 0.500 0.500 0.000
```

=====

Compound: Co2TeC
Source: Alexandria via LeMat-Bulk
Functional: GGA-PBEsol
Structure: relaxed

E_tot	-5.984	eV/atom

Structure (CIF):
```
data_Co2TeC
_space_group_name_H-M_alt 'F m -3 m'
_space_group_IT_number 225
_space_group_name_Hall '-F 4 2 3'
_cell_length_a 5.777
_cell_length_b 5.777
_cell_length_c 5.777
_cell_angle_alpha 90.00
_cell_angle_beta 90.00
_cell_angle_gamma 90.00
loop_
_atom_site_label
_atom_site_fract_x
_atom_site_fract_y
_atom_site_fract_z
Co1 0.250 0.250 0.250
Te1 0.000 0.000 0.000
C1 0.000 0.000 0.500
```

=====

Compound: Mg2MnV3S8
Source: Alexandria via LeMat-Bulk
Functional: GGA-PBEsol
Structure: relaxed

E_tot	-6.445	eV/atom

Structure (CIF):
```
data_Mg2MnV3S8
_space_group_name_H-M_alt 'R -3 m'
_space_group_IT_number 166
_space_group_name_Hall '-R 3 2"'
_cell_length_a 7.1211
_cell_length_b 7.1211
_cell_length_c 17.7380
_cell_angle_alpha 90.00
_cell_angle_beta 90.00
_cell_angle_gamma 120.00
loop_
_atom_site_label
_atom_site_fract_x
_atom_site_fract_y
_atom_site_fract_z
Mg1 0.0000 0.0000 0.1263
Mn1 0.0000 0.0000 0.5000
V1 0.0000 0.5000 0.0000
S1 0.0000 0.0000 0.2620
S2 0.0334 0.5167 0.2540
```

=====

Compound: CoRe2BiIr
Source: Alexandria via LeMat-Bulk
Functional: GGA-PBEsol
Structure: relaxed

E_tot	-7.946	eV/atom
formation energy	8.781	eV per formula unit

Structure (CIF):
```
data_CoRe2BiIr
_space_group_name_H-M_alt 'P 4/m m m'
_space_group_IT_number 123
_space_group_name_Hall '-P 4 2'
_cell_length_a 4.365
_cell_length_b 4.365
_cell_length_c 4.680
_cell_angle_alpha 90.00
_cell_angle_beta 90.00
_cell_angle_gamma 90.00
loop_
_atom_site_label
_atom_site_fract_x
_atom_site_fract_y
_atom_site_fract_z
Co1 0.000 0.000 0.000
Re1 0.000 0.500 0.000
Bi1 0.000 0.000 0.500
Ir1 0.500 0.500 0.500
```

=====

Compound: AlHSeN2
Source: Alexandria via LeMat-Bulk
Functional: GGA-PBEsol
Structure: relaxed

E_tot	-4.214	eV/atom

Structure (CIF):
```
data_AlHSeN2
_space_group_name_H-M_alt 'P 4/m m m'
_space_group_IT_number 123
_space_group_name_Hall '-P 4 2'
_cell_length_a 3.938
_cell_length_b 3.938
_cell_length_c 3.091
_cell_angle_alpha 90.00
_cell_angle_beta 90.00
_cell_angle_gamma 90.00
loop_
_atom_site_label
_atom_site_fract_x
_atom_site_fract_y
_atom_site_fract_z
Al1 0.000 0.000 0.000
H1 0.500 0.500 0.500
Se1 0.500 0.500 0.000
N1 0.000 0.500 0.500
```

=====

Compound: ScTl2Te
Source: Alexandria via LeMat-Bulk
Functional: GGA-PBEsol
Structure: relaxed

E_tot	-4.232	eV/atom
ΔE to the lowest computed polymorph	0	meV/atom

Structure (CIF):
```
data_ScTl2Te
_space_group_name_H-M_alt 'R 3 m'
_space_group_IT_number 160
_space_group_name_Hall 'R 3 -2"'
_cell_length_a 3.8379
_cell_length_b 3.8379
_cell_length_c 26.2642
_cell_angle_alpha 90.00
_cell_angle_beta 90.00
_cell_angle_gamma 120.00
loop_
_atom_site_label
_atom_site_fract_x
_atom_site_fract_y
_atom_site_fract_z
Sc1 0.0000 0.0000 0.0000
Tl1 0.0000 0.0000 0.5038
Tl2 0.0000 0.0000 0.7477
Te1 0.0000 0.0000 0.2675
```

=====

Compound: In2Pt2Au
Source: Alexandria via LeMat-Bulk
Functional: GGA-PBEsol
Structure: relaxed

E_tot	-4.796	eV/atom
formation energy	-0.162	eV per formula unit
ΔE to the lowest computed polymorph	318	meV/atom

Structure (CIF):
```
data_In2Pt2Au
_space_group_name_H-M_alt 'I 4/m m m'
_space_group_IT_number 139
_space_group_name_Hall '-I 4 2'
_cell_length_a 4.029
_cell_length_b 4.029
_cell_length_c 12.038
_cell_angle_alpha 90.00
_cell_angle_beta 90.00
_cell_angle_gamma 90.00
loop_
_atom_site_label
_atom_site_fract_x
_atom_site_fract_y
_atom_site_fract_z
In1 0.000 0.500 0.250
Pt1 0.000 0.000 0.104
Au1 0.000 0.000 0.500
```

=====

Compound: LaZnPb2
Source: Alexandria via LeMat-Bulk
Functional: GGA-PBEsol
Structure: relaxed

E_tot	-3.911	eV/atom
formation energy	-0.719	eV per formula unit

Structure (CIF):
```
data_LaZnPb2
_space_group_name_H-M_alt 'C m m 2'
_space_group_IT_number 35
_cell_length_a 5.406
_cell_length_b 5.513
_cell_length_c 7.138
_cell_angle_alpha 90.00
_cell_angle_beta 90.00
_cell_angle_gamma 90.00
loop_
_space_group_symop_operation_xyz
'x,y,z'
'-x,-y,z'
'-x,y,z'
'x,-y,z'
'x+1/2,y+1/2,z'
'-x+1/2,-y+1/2,z'
'-x+1/2,y+1/2,z'
'x+1/2,-y+1/2,z'
loop_
_atom_site_label
_atom_site_fract_x
_atom_site_fract_y
_atom_site_fract_z
La1 0.000 0.000 0.000
Zn1 0.000 0.500 0.258
Pb1 0.000 0.000 0.463
Pb2 0.000 0.500 0.704
```

=====

Compound: LiReAg2
Source: Alexandria via LeMat-Bulk
Functional: GGA-PBEsol
Structure: relaxed

E_tot	-5.178	eV/atom
formation energy	1.208	eV per formula unit
ΔE to the lowest computed polymorph	0	meV/atom

Structure (CIF):
```
data_LiReAg2
_space_group_name_H-M_alt 'P 4/m m m'
_space_group_IT_number 123
_space_group_name_Hall '-P 4 2'
_cell_length_a 2.648
_cell_length_b 2.648
_cell_length_c 8.722
_cell_angle_alpha 90.00
_cell_angle_beta 90.00
_cell_angle_gamma 90.00
loop_
_atom_site_label
_atom_site_fract_x
_atom_site_fract_y
_atom_site_fract_z
Li1 0.000 0.000 0.000
Re1 0.000 0.000 0.500
Ag1 0.500 0.500 0.246
```